P.
VASP calculation (PBE) on a geometry-optimized SrYOF2 structure.

Cell lengths 4.4973, 4.4973, 4.8575 Å; angles 90.00, 90.00, 90.00 degrees
Last column: nearest neighbours and their distance in Å.
Space group P4/mmm (No. 123)
Asymmetric unit:
1 Sr 0.0000 0.0000 0.0000 (multiplicity 1)  4 F 2.25, 2 O 2.43
2 Y 0.5000 0.5000 0.5000 (multiplicity 1)  4 O 3.18, 8 F 3.31
3 O 0.0000 0.0000 0.5000 (multiplicity 1)  2 Sr 2.43
4 F 0.0000 0.5000 0.0000 (multiplicity 2)  2 Sr 2.25

=====

Q.
VASP calculation (PBE) on a geometry-optimized SrYOF2 structure.

Cell lengths 4.6126, 4.6126, 4.3960 Å; angles 90.00, 90.00, 90.00 degrees
Last column: nearest neighbours and their distance in Å.
Space group P4/mmm (No. 123)
Asymmetric unit:
1 Sr 0.0000 0.0000 0.0000 (multiplicity 1)  8 F 3.19, 4 O 3.26
2 Y 0.5000 0.5000 0.5000 (multiplicity 1)  2 O 2.20, 4 F 2.31
3 O 0.5000 0.5000 0.0000 (multiplicity 1)  2 Y 2.20
4 F 0.0000 0.5000 0.5000 (multiplicity 2)  2 Y 2.31

=====

Most stable to least stable: Q, P